[1]
An optimized crystal structure of RbNdBeSe3. Source: OQMD via LeMat-Bulk, functional GGA-PBE.

total magnetization = 0.0 μB/cell
ρ = 4.4 g cm⁻³
total DFT energy (no corrections) = -4.695 eV/atom

Lattice parameters (Å, degrees): 7.9965 7.9965 11.2709 90.00 90.00 149.99
With the nearest neighbours (Å) after each atom.
Fractional positions:
1 Rb 0.2430 0.7570 0.7500  6 Se 3.50-3.58
2 Rb 0.7570 0.2430 0.2500  6 Se 3.50-3.58
3 Nd 0.5000 0.5000 0.0000  6 Se 2.94
4 Nd 0.5000 0.5000 0.5000  6 Se 2.94
5 Be 0.0386 0.9614 0.2500  2 Se 2.23
6 Be 0.9614 0.0386 0.7500  2 Se 2.23
7 Se 0.1194 0.8806 0.0856  1 Be 2.23
8 Se 0.1194 0.8806 0.4144  1 Be 2.23
9 Se 0.4463 0.5537 0.2500  2 Be 2.51
10 Se 0.5537 0.4463 0.7500  2 Be 2.51
11 Se 0.8806 0.1194 0.5856  1 Be 2.23
12 Se 0.8806 0.1194 0.9144  1 Be 2.23

***

[2]
An optimized crystal structure of NdBeRe. Source: OQMD via LeMat-Bulk, functional GGA-PBE.

total magnetization = 0.4 μB/cell
ρ = 9.8 g cm⁻³
total DFT energy (no corrections) = -6.242 eV/atom

Lattice parameters (Å, degrees): 4.3334 4.3334 4.3334 60.00 60.00 60.00
With the nearest neighbours (Å) after each atom.
Fractional positions:
1 Nd 0.0000 0.0000 0.0000  4 Be 2.65
2 Be 0.2500 0.2500 0.2500  4 Re 2.65, 4 Nd 2.65
3 Re 0.5000 0.5000 0.5000  4 Be 2.65

***

[3]
An optimized crystal structure of NdScBe2Si2. Source: OQMD via LeMat-Bulk, functional GGA-PBE.

total magnetization = 0.0 μB/cell
ρ = 4.3 g cm⁻³
total DFT energy (no corrections) = -5.499 eV/atom

Lattice parameters (Å, degrees): 3.8601 3.8601 7.9101 90.00 90.00 120.00
With the nearest neighbours (Å) after each atom.
Fractional positions:
1 Nd 0.0000 0.0000 0.0000  6 Si 3.10, 6 Be 3.11
2 Sc 0.0000 0.0000 0.5000  6 Be 2.86, 6 Si 2.86
3 Be 0.3333 0.6667 0.7258  3 Si 2.23
4 Be 0.6667 0.3333 0.2742  3 Si 2.23
5 Si 0.3333 0.6667 0.2731  3 Be 2.23
6 Si 0.6667 0.3333 0.7269  3 Be 2.23

***

[4]
An optimized crystal structure of NdBeSi. Source: OQMD via LeMat-Bulk, functional GGA-PBE.

total magnetization = 0.0 μB/cell
ρ = 4.7 g cm⁻³
total DFT energy (no corrections) = -4.624 eV/atom

Lattice parameters (Å, degrees): 4.4968 4.4968 4.4968 60.00 60.00 60.00
With the nearest neighbours (Å) after each atom.
Fractional positions:
1 Nd 0.0000 0.0000 0.0000  4 Si 2.75
2 Be 0.5000 0.5000 0.5000  4 Si 2.75
3 Si 0.7500 0.7500 0.7500  4 Be 2.75, 4 Nd 2.75

***

Q: Which value of total magnetization does entry 4 give?
A: 0.0 μB/cell

***

Q: Which value of ρ does entry 2 give?
A: 9.8 g cm⁻³